# 1
16
Lattice="8.833 -0.016 -0.073 -0.022 8.833 -0.073 -4.377 -4.380 6.307" Properties=species:S:1:pos:R:3 comment="K2TlBiSe4 (PBE-GGA, relaxed)" e_tot_ev_per_atom=-3.457 dos_ef_per_ev_cell=3.0 pbc="T T T"
K 2.206 6.635 3.044
K 6.645 -2.206 3.080
K 4.406 4.409 -0.073
K 4.417 -0.008 -0.037
Tl 2.217 2.219 3.080
Tl -4.399 4.453 6.234
Se 6.828 2.175 0.057
Se -2.394 2.263 6.104
Se 1.977 2.174 0.147
Se 4.409 0.215 3.210
Se 0.025 4.222 2.950
Se 4.390 4.197 3.227
Se 0.045 0.240 2.933
Se 2.457 2.264 6.014
Bi -0.011 4.417 -0.037
Bi -2.200 2.227 3.117

***

# 2
12
Lattice="7.429 -0.001 0.001 -3.713 6.434 0.001 -1.240 -2.147 7.764" Properties=species:S:1:pos:R:3 comment="K3TlBi2Se6 (PBE-GGA, relaxed)" e_tot_ev_per_atom=-3.584 pbc="T T T"
K -2.457 4.277 3.883
K 1.238 2.143 3.883
K 4.932 0.010 3.883
Bi 0.003 4.288 0.001
Bi 3.712 2.146 0.001
Se 0.043 4.288 6.138
Se -0.023 -0.040 6.132
Se -1.217 2.106 1.629
Se 2.432 -0.001 1.629
Se 3.692 2.180 6.138
Se 2.499 4.326 1.634
Tl 0.000 0.000 0.000

***

# 3
15
Lattice="8.424 0.002 0.000 -4.210 7.295 -0.033 -0.001 -4.831 8.020" Properties=species:S:1:pos:R:3 comment="K3TlBi3Se8 (PBE-GGA, relaxed)" e_tot_ev_per_atom=-3.613 dos_ef_per_ev_cell=17.2 pbc="T T T"
Se -2.144 3.694 5.630
Se 4.211 0.023 5.694
Se 6.357 -1.228 2.357
Se 4.212 2.493 2.342
Se 0.000 -0.028 5.645
Se 2.068 -1.228 2.357
Se 0.001 2.442 2.293
Se 2.145 3.694 5.630
K 0.000 0.000 0.000
K -2.105 3.647 -0.017
K 2.107 3.648 -0.017
Tl -0.001 -2.416 4.010
Bi 2.106 1.233 3.993
Bi -2.106 1.232 3.993
Bi 4.211 -2.415 4.010

***

# 4
15
Lattice="8.419 0.000 -0.001 -4.210 7.295 -0.031 -0.001 -4.831 7.997" Properties=species:S:1:pos:R:3 comment="K3TmBi3Se8 (PBE-GGA, relaxed)" e_tot_ev_per_atom=-4.064 dos_ef_per_ev_cell=11.1 pbc="T T T"
Se 2.172 3.710 5.583
Se 4.210 2.519 2.365
Se 4.209 0.023 5.679
Se 0.000 2.441 2.286
Se -2.173 3.710 5.583
Se 6.382 -1.246 2.382
Se -0.001 -0.056 5.600
Se 2.038 -1.246 2.382
K -2.105 3.647 -0.016
K 2.105 3.647 -0.016
K 0.000 0.000 0.000
Bi 4.209 -2.416 3.998
Bi -2.105 1.232 3.983
Bi 2.105 1.232 3.982
Tm 0.000 -2.416 3.998

***

# 5
12
Lattice="-3.171 2.500 -6.099 -4.098 -1.741 5.803 3.069 6.939 2.711" Properties=species:S:1:pos:R:3 comment="K3Tm2BiSe6 (PBE-GGA, relaxed)" e_tot_ev_per_atom=-4.522 dos_ef_per_ev_cell=0.0 pbc="T T T"
Se 0.436 5.728 2.075
Se -4.635 1.970 0.341
Se -3.241 5.360 3.977
Se -2.922 6.819 -0.118
Se -0.959 2.338 -1.561
Se -1.278 0.879 2.533
Tm -3.479 1.088 -2.137
Tm -3.789 -0.329 1.841
K -1.788 5.276 -2.797
K -2.412 2.422 5.213
K -2.100 3.849 1.208
Bi 0.000 0.000 0.000

***

# 6
18
Lattice="-3.915 1.637 -1.043 -2.028 -8.123 4.012 -0.740 6.941 13.678" Properties=species:S:1:pos:R:3 comment="K2UBiSe5 (PBE-GGA, relaxed)" e_tot_ev_per_atom=-4.800 dos_ef_per_ev_cell=8.3 pbc="T T T"
Se -4.508 -1.835 14.044
Se -3.406 2.247 7.159
Se -2.750 -1.623 7.776
Se -4.173 4.325 13.301
Se -0.611 -0.599 1.353
Se -5.794 -1.545 10.173
Se -2.211 2.633 3.282
Se -2.642 0.498 10.700
Se -3.636 1.568 16.112
Se -3.883 -1.520 3.037
U -4.578 0.408 8.671
U -1.778 -3.017 1.940
K -1.355 0.032 5.138
K -5.406 1.161 12.966
K -1.226 3.280 9.752
K -5.333 -3.991 4.599
Bi -2.921 6.855 12.573
Bi -4.044 -3.760 9.278

***

| no. | raw formation energy (meV per atom) | calculated volume (A^3/atom) |
| --- | --- | --- |
| 1 | -659 | 30.402 |
| 2 | -723 | 30.928 |
| 3 | -601 | 32.768 |
| 4 | -912 | 32.658 |
| 5 | -1436 | 29.649 |
| 6 | -935 | 33.638 |